(1)
First-principles (PBEsol) data for an optimized crystal structure of ScTeMo2, as listed in Alexandria via LeMat-Bulk.

The structure in CIF format:
```
data_ScTeMo2
_symmetry_space_group_name_H-M 'P 1'
_symmetry_Int_Tables_number 1
_cell_length_a 3.020
_cell_length_b 3.020
_cell_length_c 8.615
_cell_angle_alpha 90.00
_cell_angle_beta 90.00
_cell_angle_gamma 110.40
loop_
_symmetry_equiv_pos_as_xyz
'x,y,z'
loop_
_atom_site_label
_atom_site_fract_x
_atom_site_fract_y
_atom_site_fract_z
Sc1 0.000 0.000 0.000
Te1 0.000 0.000 0.500
Mo1 0.500 0.500 0.257
Mo2 0.500 0.500 0.743
```

formation energy without anion corrections: 0.520 eV per atom
ρ: 8.22 g cm⁻³
DOS(E_F): 4.47 states/eV/cell
crystal system: orthorhombic
SG: Cmmm (65)

=====

(2)
First-principles (PBEsol) data for an optimized crystal structure of ScTeMo2, as listed in Alexandria via LeMat-Bulk.

The structure in CIF format:
```
data_ScTeMo2
_symmetry_space_group_name_H-M 'P 1'
_symmetry_Int_Tables_number 1
_cell_length_a 4.937
_cell_length_b 4.937
_cell_length_c 4.937
_cell_angle_alpha 129.65
_cell_angle_beta 129.65
_cell_angle_gamma 73.96
loop_
_symmetry_equiv_pos_as_xyz
'x,y,z'
loop_
_atom_site_label
_atom_site_fract_x
_atom_site_fract_y
_atom_site_fract_z
Sc1 0.000 0.000 0.000
Te1 0.750 0.250 0.500
Mo1 0.250 0.750 0.500
Mo2 0.500 0.500 0.000
```

formation energy without anion corrections: 0.124 eV per atom
ρ: 8.70 g cm⁻³
DOS(E_F): 3.86 states/eV/cell
crystal system: tetragonal
SG: I-4m2 (119)